The following is a DFT calculation (GGA-PBE) of a relaxed structure of RbHg2SbTe4.

The structure belongs to space group I222 (No. 23); the cell edges are 7.5879, 9.2470 and 9.5887 Å and the angles 90.00°, 90.00° and 90.00°. The inequivalent atoms are Rb at (0.0000, 0.0000, 0.0000), Hg at (0.0000, 0.5000, 0.1755), Sb at (0.0000, 0.0000, 0.5000) and Te at (0.2278, 0.1866, 0.3183).

The formation energy from raw total energies is -205.4 kJ/mol of formula units. The value obtained for the total energy is -2.55 eV per atom.

***

The following is a DFT calculation (GGA-PBE) of a relaxed structure of RbHg2SbTe.

The structure belongs to space group P4/mmm (No. 123); the cell edges are 5.7945, 5.7945 and 6.2110 Å and the angles 90.00°, 90.00° and 90.00°. The inequivalent atoms are Rb at (0.0000, 0.0000, 0.0000), Hg at (0.0000, 0.5000, 0.5000), Sb at (0.5000, 0.5000, 0.5000) and Te at (0.5000, 0.5000, 0.0000).

The calculation puts the density of states at the Fermi level at 0.694 states/eV/atom. The formation energy from raw total energies is -107.2 kJ/mol of formula units. The value obtained for the total energy is -1.99 eV per atom.

***

The following is a DFT calculation (GGA-PBE) of a relaxed structure of RbTl4HgSb2.

The structure belongs to space group R-3m (No. 166, hexagonal axes); the cell edges are 5.6203, 5.6203 and 28.4950 Å and the angles 90.00°, 90.00° and 120.00°. The inequivalent atoms are Rb at (0.0000, 0.0000, 0.0000), Tl at (0.0000, 0.0000, 0.1320), Tl at (0.0000, 0.0000, 0.3857), Hg at (0.0000, 0.0000, 0.5000) and Sb at (0.0000, 0.0000, 0.2507).

The calculation puts the density of states at the Fermi level at 0.230 states/eV/atom. The formation energy from raw total energies is -73.6 kJ/mol of formula units. The value obtained for the total energy is -2.47 eV per atom.

***

The following is a DFT calculation (GGA-PBE) of a relaxed structure of RbTlHg2Sb.

The structure belongs to space group P4/mmm (No. 123); the cell edges are 5.8530, 5.8530 and 6.2695 Å and the angles 90.00°, 90.00° and 90.00°. The inequivalent atoms are Rb at (0.0000, 0.0000, 0.0000), Tl at (0.5000, 0.5000, 0.0000), Hg at (0.0000, 0.5000, 0.5000) and Sb at (0.5000, 0.5000, 0.5000).

The calculation puts the density of states at the Fermi level at 0.448 states/eV/atom. The value obtained for the relative energy among the computed polymorphs is 218 meV/atom. The formation energy from raw total energies is 5.6 kJ/mol of formula units. The value obtained for the total energy is -1.60 eV per atom.

***

The following is a DFT calculation (GGA-PBE) of a relaxed structure of RbTlHg2Sb.

The structure belongs to space group Imm2 (No. 44); the cell edges are 4.9917, 5.3478 and 12.7610 Å and the angles 90.00°, 90.00° and 90.00°. The inequivalent atoms are Rb at (0.0000, 0.0000, 0.0000), Tl at (0.0000, 0.5000, 0.7433), Hg at (0.0000, 0.0000, 0.6151), Hg at (0.0000, 0.5000, 0.2518) and Sb at (0.0000, 0.0000, 0.3882).

The calculation puts the density of states at the Fermi level at 0.198 states/eV/atom. The value obtained for the relative energy among the computed polymorphs is 0 meV/atom. The formation energy from raw total energies is -99.5 kJ/mol of formula units. The value obtained for the total energy is -1.82 eV per atom.

***

The following is a DFT calculation (GGA-PBE) of a relaxed structure of Rb4TlHg2Sb2.

The structure belongs to space group C2/m (No. 12); the cell edges are 17.0278, 10.1224 and 5.3036 Å and the angles 90.00°, 107.46° and 90.00°. The inequivalent atoms are Rb at (0.1382, 0.2479, 0.1431), Tl at (0.0000, 0.5000, 0.5000), Hg at (0.1936, 0.0000, 0.6962) and Sb at (0.1831, 0.5000, 0.6857).

The calculation puts the density of states at the Fermi level at 0.208 states/eV/atom. The formation energy from raw total energies is -216.9 kJ/mol of formula units. The value obtained for the total energy is -1.93 eV per atom.